Entry 1:
Here is a relaxed structure of BaGe2P2 from Alexandria via LeMat-Bulk. Energies are from PBE. Values from VASP.

Output
energy of formation from the pure elements = -0.37 eV/atom
space group = P-1 (2)
calculated total energy = -47.68 eV for the cell shown

Quantum ESPRESSO input file:
```
&SYSTEM
  ibrav = 0, nat = 10, ntyp = 3
/
ATOMIC_SPECIES
Ba 137.33 Ba.upf
Ge 72.64 Ge.upf
P 30.97 P.upf
CELL_PARAMETERS angstrom
6.4174 0.1001 -1.0481
3.4233 6.1874 -0.4359
2.0824 0.1853 6.5110
ATOMIC_POSITIONS crystal
Ba 0.7771 0.7627 0.2794
Ba 0.2229 0.2373 0.7206
Ge 0.4984 0.4367 0.2551
Ge 0.9344 0.9092 0.7410
Ge 0.0656 0.0908 0.2590
Ge 0.5016 0.5633 0.7449
P 0.7103 0.7301 0.8263
P 0.7455 0.2472 0.5290
P 0.2897 0.2699 0.1737
P 0.2545 0.7528 0.4710
```



Entry 2:
Here is a relaxed structure of BaGeP2 from Alexandria via LeMat-Bulk. Energies are from PBE. Values from VASP.

Output
energy of formation from the pure elements = -0.58 eV/atom
space group = C2/c (15)
calculated total energy = -157.52 eV for the cell shown

Quantum ESPRESSO input file:
```
&SYSTEM
  ibrav = 0, nat = 32, ntyp = 3
/
ATOMIC_SPECIES
Ba 137.33 Ba.upf
Ge 72.64 Ge.upf
P 30.97 P.upf
CELL_PARAMETERS angstrom
7.5591 -0.0398 0.9454
-0.0738 7.5588 0.9454
0.0569 0.0571 14.9405
ATOMIC_POSITIONS crystal
Ba 0.6550 0.7617 0.8864
Ba 0.2383 0.3450 0.6136
Ba 0.3450 0.2383 0.1136
Ba 0.7617 0.6550 0.3864
Ba 0.2072 0.8488 0.6037
Ba 0.1512 0.7928 0.8963
Ba 0.7928 0.1512 0.3963
Ba 0.8488 0.2072 0.1037
Ge 0.4183 0.2915 0.8341
Ge 0.7085 0.5817 0.6659
Ge 0.5817 0.7085 0.1659
Ge 0.2915 0.4183 0.3341
Ge 0.7087 0.0847 0.6641
Ge 0.9153 0.2913 0.8359
Ge 0.2913 0.9153 0.3359
Ge 0.0847 0.7087 0.1641
P 0.6405 0.2843 0.9319
P 0.7157 0.3594 0.5681
P 0.3594 0.7157 0.0681
P 0.2843 0.6405 0.4319
P 0.4296 0.0478 0.7511
P 0.9522 0.5704 0.7489
P 0.5704 0.9522 0.2489
P 0.0478 0.4296 0.2511
P 0.7479 0.8553 0.5695
P 0.1447 0.2521 0.9305
P 0.2521 0.1447 0.4305
P 0.8553 0.7479 0.0695
P 0.9456 0.0544 0.7500
P 0.0544 0.9456 0.2500
P 0.4232 0.5768 0.7500
P 0.5768 0.4232 0.2500
```



Entry 3:
Here is a relaxed structure of Ba4GeP4 from Alexandria via LeMat-Bulk. Energies are from PBE. Values from VASP.

Output
energy of formation from the pure elements = -0.89 eV/atom
space group = P4_2/nmc (137)
calculated total energy = -83.91 eV for the cell shown

Quantum ESPRESSO input file:
```
&SYSTEM
  ibrav = 0, nat = 18, ntyp = 3
/
ATOMIC_SPECIES
Ba 137.33 Ba.upf
Ge 72.64 Ge.upf
P 30.97 P.upf
CELL_PARAMETERS angstrom
6.7570 0.0000 0.0000
0.0000 9.2559 0.0000
0.0000 0.0000 9.2559
ATOMIC_POSITIONS crystal
Ba 0.3187 0.2682 0.9999
Ba 0.8187 0.5001 0.7682
Ba 0.3187 0.7318 0.0001
Ba 0.1813 0.2318 0.5001
Ba 0.6813 0.9999 0.7318
Ba 0.1813 0.7682 0.4999
Ba 0.8187 0.4999 0.2318
Ba 0.6813 0.0001 0.2682
Ge 0.0000 0.0000 0.0000
Ge 0.5000 0.5000 0.5000
P 0.6962 0.7179 0.4999
P 0.6962 0.2821 0.5001
P 0.1962 0.9999 0.7821
P 0.8038 0.2179 0.9999
P 0.8038 0.7821 0.0001
P 0.3038 0.4999 0.2821
P 0.3038 0.5001 0.7179
P 0.1962 0.0001 0.2179
```



Entry 4:
Here is a relaxed structure of BaGeP from Alexandria via LeMat-Bulk. Energies are from PBE. Values from VASP.

Output
energy of formation from the pure elements = -0.61 eV/atom
space group = P2/m (10)
calculated total energy = -27.59 eV for the cell shown

Quantum ESPRESSO input file:
```
&SYSTEM
  ibrav = 0, nat = 6, ntyp = 3
/
ATOMIC_SPECIES
Ba 137.33 Ba.upf
Ge 72.64 Ge.upf
P 30.97 P.upf
CELL_PARAMETERS angstrom
4.2790 0.0000 0.0000
0.0000 4.9309 -0.8719
0.0000 -3.5077 8.9016
ATOMIC_POSITIONS crystal
Ba 0.3613 0.5465 0.5386
Ba 0.3613 0.4661 0.9558
Ge 0.8613 0.1905 0.1810
Ge 0.8613 0.8220 0.3136
P 0.8613 0.9158 0.9052
P 0.8613 0.0969 0.5893
```



Entry 5:
Here is a relaxed structure of BaGeP3 from Alexandria via LeMat-Bulk. Energies are from PBE. Values from VASP.

Output
energy of formation from the pure elements = 0.09 eV/atom
space group = Pm-3m (221)
calculated total energy = -22.30 eV for the cell shown

Quantum ESPRESSO input file:
```
&SYSTEM
  ibrav = 0, nat = 5, ntyp = 3
/
ATOMIC_SPECIES
P 30.97 P.upf
Ge 72.64 Ge.upf
Ba 137.33 Ba.upf
CELL_PARAMETERS angstrom
4.9165 0.0000 0.0000
0.0000 4.9165 0.0000
0.0000 0.0000 4.9165
ATOMIC_POSITIONS crystal
P 0.0000 0.5000 0.0000
P 0.0000 0.0000 0.5000
P 0.5000 0.0000 0.0000
Ge 0.0000 0.0000 0.0000
Ba 0.5000 0.5000 0.5000
```



Entry 6:
Here is a relaxed structure of Ba4GeP from Alexandria via LeMat-Bulk. Energies are from PBE. Values from VASP.

Output
energy of formation from the pure elements = -0.63 eV/atom
space group = I4_1/a (88)
calculated total energy = -42.98 eV for the cell shown

Quantum ESPRESSO input file:
```
&SYSTEM
  ibrav = 0, nat = 12, ntyp = 3
/
ATOMIC_SPECIES
Ba 137.33 Ba.upf
Ge 72.64 Ge.upf
P 30.97 P.upf
CELL_PARAMETERS angstrom
7.8703 0.6770 0.0008
-0.6759 7.8705 0.0011
-3.5965 -4.2726 7.9133
ATOMIC_POSITIONS crystal
Ba 0.2466 0.0005 0.5023
Ba 0.0003 0.7556 0.0021
Ba 0.2443 0.4982 0.4977
Ba 0.4982 0.7535 0.9979
Ba 0.7534 0.9995 0.4977
Ba 0.7557 0.5018 0.5023
Ba 0.9997 0.2444 0.9979
Ba 0.5018 0.2465 0.0021
Ge 0.3750 0.6250 0.2500
Ge 0.6250 0.3750 0.7500
P 0.8750 0.1250 0.2500
P 0.1250 0.8750 0.7500
```



Entry 7:
Here is a relaxed structure of Ba3Ge2P4 from Alexandria via LeMat-Bulk. Energies are from PBE. Values from VASP.

Output
energy of formation from the pure elements = -0.64 eV/atom
space group = C2/c (15)
calculated total energy = -84.74 eV for the cell shown

Quantum ESPRESSO input file:
```
&SYSTEM
  ibrav = 0, nat = 18, ntyp = 3
/
ATOMIC_SPECIES
Ba 137.33 Ba.upf
Ge 72.64 Ge.upf
P 30.97 P.upf
CELL_PARAMETERS angstrom
-6.2171 -2.6149 0.6116
-0.0392 -2.0963 -8.6506
3.4217 -8.2071 0.4039
ATOMIC_POSITIONS crystal
Ba 0.9397 0.9886 0.2569
Ba 0.5603 0.7431 0.0114
Ba 0.0603 0.0114 0.7431
Ba 0.4397 0.2569 0.9886
Ba 0.2500 0.6142 0.3858
Ba 0.7500 0.3858 0.6142
Ge 0.4233 0.1750 0.4023
Ge 0.0767 0.5977 0.8250
Ge 0.5767 0.8250 0.5977
Ge 0.9233 0.4023 0.1750
P 0.4412 0.9630 0.2754
P 0.0588 0.7246 0.0370
P 0.5588 0.0370 0.7246
P 0.9412 0.2754 0.9630
P 0.0887 0.2652 0.4085
P 0.4113 0.5915 0.7348
P 0.9113 0.7348 0.5915
P 0.5887 0.4085 0.2652
```



Entry 8:
Here is a relaxed structure of BaGeP2 from Alexandria via LeMat-Bulk. Energies are from PBE. Values from VASP.

Output
energy of formation from the pure elements = -0.49 eV/atom
space group = C2/m (12)
calculated total energy = -38.63 eV for the cell shown

Quantum ESPRESSO input file:
```
&SYSTEM
  ibrav = 0, nat = 8, ntyp = 3
/
ATOMIC_SPECIES
Ba 137.33 Ba.upf
Ge 72.64 Ge.upf
P 30.97 P.upf
CELL_PARAMETERS angstrom
-2.6005 -1.7323 -2.5115
5.2683 -2.6504 -3.6266
-1.4230 -3.9406 7.3909
ATOMIC_POSITIONS crystal
Ba 0.6945 0.6446 0.9633
Ba 0.9663 0.9150 0.5076
Ge 0.2289 0.1783 0.0328
Ge 0.4319 0.3812 0.4381
P 0.3308 0.0205 0.2364
P 0.0243 0.4729 0.6225
P 0.6369 0.0867 0.8484
P 0.3298 0.5390 0.2345
```



Entry 9:
Here is a relaxed structure of BaGeP3 from Alexandria via LeMat-Bulk. Energies are from PBE. Values from VASP.

Output
energy of formation from the pure elements = 0.01 eV/atom
space group = R-3c (167)
calculated total energy = -45.44 eV for the cell shown

Quantum ESPRESSO input file:
```
&SYSTEM
  ibrav = 0, nat = 10, ntyp = 3
/
ATOMIC_SPECIES
Ba 137.33 Ba.upf
Ge 72.64 Ge.upf
P 30.97 P.upf
CELL_PARAMETERS angstrom
-4.9678 3.9962 0.9704
-5.3477 -3.5876 0.3474
-1.6591 -0.4277 6.2173
ATOMIC_POSITIONS crystal
Ba 0.7443 0.7443 0.7443
Ba 0.2443 0.2443 0.2443
Ge 0.9945 0.9945 0.9945
Ge 0.4945 0.4945 0.4945
P 0.2020 0.7442 0.2865
P 0.2865 0.2020 0.7442
P 0.7442 0.2865 0.2020
P 0.7020 0.7865 0.2442
P 0.7865 0.2442 0.7020
P 0.2442 0.7020 0.7865
```



Entry 10:
Here is a relaxed structure of BaGeP from Alexandria via LeMat-Bulk. Energies are from PBE. Values from VASP.

Output
energy of formation from the pure elements = -0.58 eV/atom
space group = P-6m2 (187)
calculated total energy = -13.69 eV for the cell shown

Quantum ESPRESSO input file:
```
&SYSTEM
  ibrav = 0, nat = 3, ntyp = 3
/
ATOMIC_SPECIES
P 30.97 P.upf
Ge 72.64 Ge.upf
Ba 137.33 Ba.upf
CELL_PARAMETERS angstrom
4.7507 0.0000 0.0000
0.0000 4.5011 0.0000
0.0000 -2.2505 3.8980
ATOMIC_POSITIONS crystal
P 0.1665 0.0000 0.0000
Ge 0.1668 0.3333 0.6667
Ba 0.6667 0.6667 0.3333
```



Entry 11:
Here is a relaxed structure of Ba2GeP2 from Alexandria via LeMat-Bulk. Energies are from PBE. Values from VASP.

Output
energy of formation from the pure elements = -0.66 eV/atom
space group = P4/mbm (127)
calculated total energy = -45.12 eV for the cell shown

Quantum ESPRESSO input file:
```
&SYSTEM
  ibrav = 0, nat = 10, ntyp = 3
/
ATOMIC_SPECIES
P 30.97 P.upf
Ge 72.64 Ge.upf
Ba 137.33 Ba.upf
CELL_PARAMETERS angstrom
7.6133 0.0000 0.0000
0.0000 7.6133 0.0000
0.0000 0.0000 4.8093
ATOMIC_POSITIONS crystal
P 0.3959 0.8959 0.0000
P 0.8959 0.6041 0.0000
P 0.6041 0.1041 0.0000
P 0.1041 0.3959 0.0000
Ge 0.0000 0.0000 0.0000
Ge 0.5000 0.5000 0.0000
Ba 0.1855 0.6855 0.5000
Ba 0.6855 0.8145 0.5000
Ba 0.8145 0.3145 0.5000
Ba 0.3145 0.1855 0.5000
```



Entry 12:
Here is a relaxed structure of Ba2Ge2P from Alexandria via LeMat-Bulk. Energies are from PBE. Values from VASP.

Output
energy of formation from the pure elements = -0.48 eV/atom
space group = I4/mmm (139)
calculated total energy = -20.87 eV for the cell shown

Quantum ESPRESSO input file:
```
&SYSTEM
  ibrav = 0, nat = 5, ntyp = 3
/
ATOMIC_SPECIES
P 30.97 P.upf
Ge 72.64 Ge.upf
Ba 137.33 Ba.upf
CELL_PARAMETERS angstrom
-3.2483 2.0235 0.7863
0.7525 -0.2779 3.8237
3.8340 9.1846 1.9089
ATOMIC_POSITIONS crystal
P 0.0000 0.0000 0.0000
Ge 0.7500 0.2500 0.5000
Ge 0.2500 0.7500 0.5000
Ba 0.4092 0.4092 0.1817
Ba 0.5908 0.5908 0.8183
```